#w
The following is a GGA-PBE calculation of crystalline Nd3Sm5Ho3 at its relaxed geometry, from Alexandria via LeMat-Bulk.

crystal system	hexagonal

Structure (CIF):
```
data_Nd3Sm5Ho3
_symmetry_space_group_name_H-M 'P -6 2 m'
_symmetry_Int_Tables_number 189
_symmetry_space_group_name_Hall 'P -6 -2'
_cell_length_a 9.7368
_cell_length_b 9.7368
_cell_length_c 5.5757
_cell_angle_alpha 90.00
_cell_angle_beta 90.00
_cell_angle_gamma 120.00
loop_
_atom_site_label
_atom_site_type_symbol
_atom_site_fract_x
_atom_site_fract_y
_atom_site_fract_z
Nd1 Nd 0.0000 0.5741 0.0000
Sm1 Sm 0.0000 0.7298 0.5000
Sm2 Sm 0.3333 0.6667 0.5000
Ho1 Ho 0.0000 0.3683 0.5000
```

#x
The following is a GGA-PBE calculation of crystalline Nd3Sm5Ho3 at its relaxed geometry, from Alexandria via LeMat-Bulk.

crystal system	hexagonal

Structure (CIF):
```
data_Nd3Sm5Ho3
_symmetry_space_group_name_H-M 'P -6 2 m'
_symmetry_Int_Tables_number 189
_symmetry_space_group_name_Hall 'P -6 -2'
_cell_length_a 11.3257
_cell_length_b 11.3257
_cell_length_c 3.4628
_cell_angle_alpha 90.00
_cell_angle_beta 90.00
_cell_angle_gamma 120.00
loop_
_atom_site_label
_atom_site_type_symbol
_atom_site_fract_x
_atom_site_fract_y
_atom_site_fract_z
Nd1 Nd 0.0000 0.5969 0.0000
Sm1 Sm 0.0000 0.3376 0.5000
Sm2 Sm 0.3333 0.6667 0.5000
Ho1 Ho 0.0000 0.8411 0.5000
```

Least stable structure: #w

#w
The following is a GGA-PBE calculation of crystalline Nd5Sm3Ho4 at its relaxed geometry, from Alexandria via LeMat-Bulk.

crystal system	triclinic

Structure (CIF):
```
data_Nd5Sm3Ho4
_symmetry_space_group_name_H-M 'P -1'
_symmetry_Int_Tables_number 2
_cell_length_a 6.2638
_cell_length_b 7.2264
_cell_length_c 8.8537
_cell_angle_alpha 90.09
_cell_angle_beta 90.05
_cell_angle_gamma 90.02
loop_
_symmetry_equiv_pos_as_xyz
'x,y,z'
'-x,-y,-z'
loop_
_atom_site_label
_atom_site_type_symbol
_atom_site_fract_x
_atom_site_fract_y
_atom_site_fract_z
Nd1 Nd 0.0000 0.0000 0.0000
Nd2 Nd 0.3319 0.5000 0.3353
Nd3 Nd 0.4990 0.7519 0.9999
Sm1 Sm 0.0000 0.5000 0.0000
Sm2 Sm 0.1659 0.2481 0.6644
Ho1 Ho 0.1672 0.7528 0.6648
Ho2 Ho 0.3342 0.0000 0.3361
```

#x
The following is a GGA-PBE calculation of crystalline Nd5Sm3Ho4 at its relaxed geometry, from Alexandria via LeMat-Bulk.

crystal system	monoclinic

Structure (CIF):
```
data_Nd5Sm3Ho4
_symmetry_space_group_name_H-M 'C 1 2/m 1'
_symmetry_Int_Tables_number 12
_cell_length_a 16.3056
_cell_length_b 5.9865
_cell_length_c 9.3556
_cell_angle_alpha 90.00
_cell_angle_beta 116.31
_cell_angle_gamma 90.00
loop_
_symmetry_equiv_pos_as_xyz
'x,y,z'
'-x,-y,-z'
'-x,y,-z'
'x,-y,z'
'x+1/2,y+1/2,z'
'-x+1/2,-y+1/2,-z'
'-x+1/2,y+1/2,-z'
'x+1/2,-y+1/2,z'
loop_
_atom_site_label
_atom_site_type_symbol
_atom_site_fract_x
_atom_site_fract_y
_atom_site_fract_z
Nd1 Nd 0.0000 0.0000 0.0000
Nd2 Nd 0.0766 0.5000 0.6997
Nd3 Nd 0.1740 0.5000 0.3857
Sm1 Sm 0.0000 0.5000 0.0000
Sm2 Sm 0.2079 0.0000 0.2276
Ho1 Ho 0.0813 0.0000 0.4408
Ho2 Ho 0.2135 0.0000 0.8777
```

Least stable structure: #x

#w
The following is a GGA-PBE calculation of crystalline Nd4Sm3Ho4 at its relaxed geometry, from Alexandria via LeMat-Bulk.

crystal system	orthorhombic

Structure (CIF):
```
data_Nd4Sm3Ho4
_symmetry_space_group_name_H-M 'A m m 2'
_symmetry_Int_Tables_number 38
_cell_length_a 10.7397
_cell_length_b 5.7420
_cell_length_c 12.0976
_cell_angle_alpha 90.00
_cell_angle_beta 90.00
_cell_angle_gamma 90.00
loop_
_symmetry_equiv_pos_as_xyz
'x,y,z'
'-x,-y,z'
'-x,y,z'
'x,-y,z'
'x,y+1/2,z+1/2'
'-x,-y+1/2,z+1/2'
'-x,y+1/2,z+1/2'
'x,-y+1/2,z+1/2'
loop_
_atom_site_label
_atom_site_type_symbol
_atom_site_fract_x
_atom_site_fract_y
_atom_site_fract_z
Nd1 Nd 0.0000 0.0000 0.0000
Nd2 Nd 0.2102 0.0000 0.7934
Nd3 Nd 0.5000 0.0000 0.9221
Sm1 Sm 0.0000 0.0000 0.2933
Sm2 Sm 0.2905 0.0000 0.4496
Ho1 Ho 0.0000 0.0000 0.5936
Ho2 Ho 0.3027 0.0000 0.1437
Ho3 Ho 0.5000 0.0000 0.6500
```

#x
The following is a GGA-PBE calculation of crystalline Nd4Sm3Ho4 at its relaxed geometry, from Alexandria via LeMat-Bulk.

crystal system	orthorhombic

Structure (CIF):
```
data_Nd4Sm3Ho4
_symmetry_space_group_name_H-M 'I m m m'
_symmetry_Int_Tables_number 71
_symmetry_space_group_name_Hall '-I 2 2'
_cell_length_a 3.6063
_cell_length_b 9.4766
_cell_length_c 22.0825
_cell_angle_alpha 90.00
_cell_angle_beta 90.00
_cell_angle_gamma 90.00
loop_
_atom_site_label
_atom_site_type_symbol
_atom_site_fract_x
_atom_site_fract_y
_atom_site_fract_z
Nd1 Nd 0.0000 0.1782 0.1457
Sm1 Sm 0.0000 0.0000 0.3922
Sm2 Sm 0.0000 0.5000 0.5000
Ho1 Ho 0.0000 0.3177 0.0000
Ho2 Ho 0.0000 0.5000 0.2404
```

Least stable structure: #w

#w
The following is a GGA-PBE calculation of crystalline Nd5Sm3Ho3 at its relaxed geometry, from Alexandria via LeMat-Bulk.

crystal system	hexagonal

Structure (CIF):
```
data_Nd5Sm3Ho3
_symmetry_space_group_name_H-M 'P -6 2 m'
_symmetry_Int_Tables_number 189
_symmetry_space_group_name_Hall 'P -6 -2'
_cell_length_a 9.8057
_cell_length_b 9.8057
_cell_length_c 5.5138
_cell_angle_alpha 90.00
_cell_angle_beta 90.00
_cell_angle_gamma 120.00
loop_
_atom_site_label
_atom_site_type_symbol
_atom_site_fract_x
_atom_site_fract_y
_atom_site_fract_z
Nd1 Nd 0.0000 0.2679 0.0000
Nd2 Nd 0.3333 0.6667 0.0000
Sm1 Sm 0.0000 0.4315 0.5000
Ho1 Ho 0.0000 0.6334 0.0000
```

#x
The following is a GGA-PBE calculation of crystalline Nd5Sm3Ho3 at its relaxed geometry, from Alexandria via LeMat-Bulk.

crystal system	hexagonal

Structure (CIF):
```
data_Nd5Sm3Ho3
_symmetry_space_group_name_H-M 'P -6 2 m'
_symmetry_Int_Tables_number 189
_symmetry_space_group_name_Hall 'P -6 -2'
_cell_length_a 11.3584
_cell_length_b 11.3584
_cell_length_c 3.4655
_cell_angle_alpha 90.00
_cell_angle_beta 90.00
_cell_angle_gamma 120.00
loop_
_atom_site_label
_atom_site_type_symbol
_atom_site_fract_x
_atom_site_fract_y
_atom_site_fract_z
Nd1 Nd 0.0000 0.6621 0.0000
Nd2 Nd 0.3333 0.6667 0.0000
Sm1 Sm 0.0000 0.4030 0.5000
Ho1 Ho 0.0000 0.1591 0.0000
```

Least stable structure: #w

#w
The following is a GGA-PBE calculation of crystalline Nd3Sm2Ho6 at its relaxed geometry, from Alexandria via LeMat-Bulk.

crystal system	tetragonal

Structure (CIF):
```
data_Nd3Sm2Ho6
_symmetry_space_group_name_H-M 'I 4/m m m'
_symmetry_Int_Tables_number 139
_symmetry_space_group_name_Hall '-I 4 2'
_cell_length_a 4.7694
_cell_length_b 4.7694
_cell_length_c 33.2101
_cell_angle_alpha 90.00
_cell_angle_beta 90.00
_cell_angle_gamma 90.00
loop_
_atom_site_label
_atom_site_type_symbol
_atom_site_fract_x
_atom_site_fract_y
_atom_site_fract_z
Nd1 Nd 0.0000 0.0000 0.0000
Nd2 Nd 0.0000 0.0000 0.2038
Sm1 Sm 0.0000 0.0000 0.4539
Ho1 Ho 0.0000 0.0000 0.3075
Ho2 Ho 0.0000 0.5000 0.1206
```

#x
The following is a GGA-PBE calculation of crystalline Nd3Sm2Ho6 at its relaxed geometry, from Alexandria via LeMat-Bulk.

crystal system	monoclinic

Structure (CIF):
```
data_Nd3Sm2Ho6
_symmetry_space_group_name_H-M 'C 1 2/m 1'
_symmetry_Int_Tables_number 12
_cell_length_a 6.1730
_cell_length_b 10.7160
_cell_length_c 11.6590
_cell_angle_alpha 90.00
_cell_angle_beta 100.28
_cell_angle_gamma 90.00
loop_
_symmetry_equiv_pos_as_xyz
'x,y,z'
'-x,-y,-z'
'-x,y,-z'
'x,-y,z'
'x+1/2,y+1/2,z'
'-x+1/2,-y+1/2,-z'
'-x+1/2,y+1/2,-z'
'x+1/2,-y+1/2,z'
loop_
_atom_site_label
_atom_site_type_symbol
_atom_site_fract_x
_atom_site_fract_y
_atom_site_fract_z
Nd1 Nd 0.0000 0.0000 0.0000
Nd2 Nd 0.0000 0.3358 0.0000
Sm1 Sm 0.0000 0.1664 0.5000
Ho1 Ho 0.2492 0.3335 0.7481
Ho2 Ho 0.2498 0.0000 0.7484
```

Least stable structure: #w